[1]
The following is a PBE calculation of CaY4Au5 after structural relaxation, from Alexandria via LeMat-Bulk.

Values from the calculation:
Density   9.7 Mg/m³
Volume   236.6 Å³/f.u.
Total magnetization   0.000 μB per atom
DFT formation energy   -0.852 eV/atom

The structure in POSCAR format:
```
CaY4Au5
1.0
3.5968 0.0000 0.0000
0.0000 3.5968 0.0000
0.0000 0.0000 18.2889
Ca Y Au
1 4 5
Direct
0.0000 0.0000 0.0000
0.0000 0.0000 0.2004
0.0000 0.0000 0.4005
0.0000 0.0000 0.5995
0.0000 0.0000 0.7996
0.5000 0.5000 0.1088
0.5000 0.5000 0.3015
0.5000 0.5000 0.5000
0.5000 0.5000 0.6985
0.5000 0.5000 0.8912
```

[2]
The following is a PBE calculation of CaY2Au2 after structural relaxation, from Alexandria via LeMat-Bulk.

Values from the calculation:
Density   8.0 Mg/m³
Volume   127.1 Å³/f.u.
Total magnetization   0.000 μB per atom
DFT formation energy   -0.590 eV/atom

The structure in POSCAR format:
```
CaY2Au2
1.0
8.6226 0.0000 0.0000
0.0000 8.6226 0.0000
0.0000 0.0000 3.4187
Ca Y Au
2 4 4
Direct
0.0000 0.0000 0.0000
0.5000 0.5000 0.0000
0.1403 0.3597 0.0000
0.3597 0.8597 0.0000
0.6403 0.1403 0.0000
0.8597 0.6403 0.0000
0.1563 0.6563 0.5000
0.3437 0.1563 0.5000
0.6563 0.8437 0.5000
0.8437 0.3437 0.5000
```

[3]
The following is a PBE calculation of CaY2Au after structural relaxation, from Alexandria via LeMat-Bulk.

Values from the calculation:
Density   6.3 Mg/m³
Volume   110.0 Å³/f.u.
Total magnetization   0.000 μB per atom
DFT formation energy   -0.148 eV/atom

The structure in POSCAR format:
```
CaY2Au
1.0
-2.2860 2.2860 5.2647
2.2860 -2.2860 5.2647
2.2860 2.2860 -5.2647
Ca Y Au
1 2 1
Direct
0.0000 0.0000 0.0000
0.5000 0.5000 0.0000
0.7500 0.2500 0.5000
0.2500 0.7500 0.5000
```

[4]
The following is a PBE calculation of CaYAu2 after structural relaxation, from Alexandria via LeMat-Bulk.

Values from the calculation:
Density   9.1 Mg/m³
Volume   95.9 Å³/f.u.
Total magnetization   0.000 μB per atom
DFT formation energy   -0.834 eV/atom

The structure in POSCAR format:
```
CaYAu2
1.0
3.6325 0.0000 0.0000
0.0000 3.6325 0.0000
0.0000 0.0000 7.2658
Ca Y Au
1 1 2
Direct
0.0000 0.0000 0.0000
0.0000 0.0000 0.5000
0.5000 0.5000 0.2702
0.5000 0.5000 0.7298
```

[5]
The following is a PBE calculation of Ca2YAu3 after structural relaxation, from Alexandria via LeMat-Bulk.

Values from the calculation:
Density   8.8 Mg/m³
Volume   143.2 Å³/f.u.
Total magnetization   0.000 μB per atom
DFT formation energy   -0.814 eV/atom

The structure in POSCAR format:
```
Ca2YAu3
1.0
2.5516 -7.7452 0.0000
2.5516 7.7452 0.0000
0.0000 0.0000 3.6234
Ca Y Au
2 1 3
Direct
0.1686 0.8314 0.0000
0.8314 0.1686 0.0000
0.5000 0.5000 0.0000
0.0000 0.0000 0.5000
0.3429 0.6571 0.5000
0.6571 0.3429 0.5000
```

[6]
The following is a PBE calculation of CaYZnAu after structural relaxation, from Alexandria via LeMat-Bulk.

Values from the calculation:
Density   6.8 Mg/m³
Volume   95.5 Å³/f.u.
Total magnetization   0.000 μB per atom
DFT formation energy   -0.566 eV/atom

The structure in POSCAR format:
```
CaYZnAu
1.0
3.6449 0.0000 0.0000
0.0000 3.6449 0.0000
0.0000 0.0000 7.1881
Ca Y Zn Au
1 1 1 1
Direct
0.0000 0.0000 0.0000
0.0000 0.0000 0.5019
0.5000 0.5000 0.2674
0.5000 0.5000 0.7308
```

[7]
The following is a PBE calculation of CaYZn2Au5 after structural relaxation, from Alexandria via LeMat-Bulk.

Values from the calculation:
Density   11.4 Mg/m³
Volume   181.4 Å³/f.u.
Total magnetization   0.000 μB per atom
DFT formation energy   -0.505 eV/atom

The structure in POSCAR format:
```
CaYZn2Au5
1.0
4.4326 0.0000 0.0000
0.0000 4.4326 0.0000
0.0000 0.0000 9.2311
Ca Y Zn Au
1 1 2 5
Direct
0.0000 0.0000 0.0000
0.0000 0.0000 0.5000
0.5000 0.5000 0.3715
0.5000 0.5000 0.6285
0.0000 0.5000 0.2304
0.0000 0.5000 0.7696
0.5000 0.0000 0.2304
0.5000 0.0000 0.7696
0.5000 0.5000 0.0000
```

[8]
The following is a PBE calculation of CaY2ZrAu after structural relaxation, from Alexandria via LeMat-Bulk.

Values from the calculation:
Density   5.0 Mg/m³
Volume   167.9 Å³/f.u.
Total magnetization   0.412 μB per atom
DFT formation energy   0.098 eV/atom

The structure in POSCAR format:
```
CaY2ZrAu
1.0
5.5898 0.0000 0.0000
0.0000 5.5898 0.0000
0.0000 0.0000 5.3745
Ca Y Zr Au
1 2 1 1
Direct
0.0000 0.0000 0.0000
0.0000 0.5000 0.5000
0.5000 0.0000 0.5000
0.5000 0.5000 0.0000
0.5000 0.5000 0.5000
```